1.
A plane-wave DFT calculation with GGA-PBEsol was carried out for Ca2MgAg2 after structural relaxation.

abc: 3.849 3.849 18.006
angles: 90.00 90.00 90.00
Space group I4/mmm (No. 139)
Inequivalent atoms, fractional coordinates:
Ca 0.000 0.000 0.115 (multiplicity 4)
Mg 0.000 0.000 0.500 (multiplicity 2)
Ag 0.000 0.500 0.250 (multiplicity 4)

Results
Energy above the most stable polymorph in this dataset ... 0.212 eV/atom
DOS at the Fermi energy ... 4.57 states/eV/cell
DFT formation energy ... -0.058 eV per atom



2.
A plane-wave DFT calculation with GGA-PBEsol was carried out for CaMgAg2 after structural relaxation.

abc: 3.526 4.564 5.762
angles: 90.00 107.96 90.00
Space group Pm (No. 6)
Inequivalent atoms, fractional coordinates:
Ca 0.000 0.000 0.000 (multiplicity 1)
Mg 0.699 0.500 0.400 (multiplicity 1)
Ag 0.266 0.000 0.536 (multiplicity 1)
Ag 0.416 0.500 0.832 (multiplicity 1)

Results
DOS at the Fermi energy ... 1.68 states/eV/cell
DFT formation energy ... -0.201 eV per atom



3.
A plane-wave DFT calculation with GGA-PBEsol was carried out for CaMnAg after structural relaxation.

abc: 3.2543 3.2543 6.9597
angles: 90.00 90.00 120.00
Space group P3m1 (No. 156)
Inequivalent atoms, fractional coordinates:
Ca 0.0000 0.0000 0.0000 (multiplicity 1)
Mn 0.3333 0.6667 0.6357 (multiplicity 1)
Ag 0.6667 0.3333 0.3548 (multiplicity 1)

Results
DOS at the Fermi energy ... 2.49 states/eV/cell
DFT formation energy ... 0.589 eV per atom



4.
A plane-wave DFT calculation with GGA-PBEsol was carried out for CaMnAg after structural relaxation.

abc: 6.500 6.500 6.500
angles: 90.00 90.00 90.00
Space group F-43m (No. 216)
Inequivalent atoms, fractional coordinates:
Ca 0.000 0.000 0.000 (multiplicity 4)
Mn 0.250 0.250 0.250 (multiplicity 4)
Ag 0.000 0.000 0.500 (multiplicity 4)

Results
DOS at the Fermi energy ... 13.36 states/eV/cell
DFT formation energy ... 0.606 eV per atom



5.
A plane-wave DFT calculation with GGA-PBEsol was carried out for Ca2MnAg after structural relaxation.

abc: 3.620 5.056 10.707
angles: 90.00 90.00 90.00
Space group Imm2 (No. 44)
Inequivalent atoms, fractional coordinates:
Ca 0.000 0.000 0.000 (multiplicity 2)
Ca 0.000 0.500 0.211 (multiplicity 2)
Mn 0.000 0.000 0.434 (multiplicity 2)
Ag 0.000 0.500 0.754 (multiplicity 2)

Results
DOS at the Fermi energy ... 8.76 states/eV/cell
DFT formation energy ... 0.237 eV per atom



6.
A plane-wave DFT calculation with GGA-PBEsol was carried out for Ca2MnAg after structural relaxation.

abc: 3.548 3.548 8.153
angles: 90.00 90.00 90.00
Space group P4mm (No. 99)
Inequivalent atoms, fractional coordinates:
Ca 0.000 0.000 0.000 (multiplicity 1)
Ca 0.500 0.500 0.371 (multiplicity 1)
Mn 0.000 0.000 0.626 (multiplicity 1)
Ag 0.500 0.500 0.756 (multiplicity 1)

Results
DOS at the Fermi energy ... 2.72 states/eV/cell
DFT formation energy ... 0.227 eV per atom



7.
A plane-wave DFT calculation with GGA-PBEsol was carried out for CaMnAg after structural relaxation.

abc: 3.486 3.486 10.574
angles: 90.00 90.00 90.00
Space group I4mm (No. 107)
Inequivalent atoms, fractional coordinates:
Ca 0.000 0.000 0.000 (multiplicity 2)
Mn 0.000 0.000 0.295 (multiplicity 2)
Ag 0.000 0.000 0.693 (multiplicity 2)

Results
DOS at the Fermi energy ... 3.64 states/eV/cell
DFT formation energy ... 0.305 eV per atom



8.
A plane-wave DFT calculation with GGA-PBEsol was carried out for CaAgMo2 after structural relaxation.

abc: 3.617 3.617 6.430
angles: 90.00 90.00 90.00
Space group P4/mmm (No. 123)
Inequivalent atoms, fractional coordinates:
Ca 0.000 0.000 0.000 (multiplicity 1)
Ag 0.000 0.000 0.500 (multiplicity 1)
Mo 0.500 0.500 0.335 (multiplicity 2)

Results
DOS at the Fermi energy ... 4.39 states/eV/cell
DFT formation energy ... 0.829 eV per atom



9.
A plane-wave DFT calculation with GGA-PBEsol was carried out for CaAg2Mo after structural relaxation.

abc: 2.807 4.110 6.506
angles: 90.00 90.00 90.00
Space group Pmmm (No. 47)
Inequivalent atoms, fractional coordinates:
Ca 0.000 0.000 0.000 (multiplicity 1)
Ag 0.500 0.500 0.287 (multiplicity 2)
Mo 0.000 0.000 0.500 (multiplicity 1)

Results
DOS at the Fermi energy ... 3.20 states/eV/cell
DFT formation energy ... 0.422 eV per atom



10.
A plane-wave DFT calculation with GGA-PBEsol was carried out for Ca5Ag2N4 after structural relaxation.

abc: 7.890 7.890 13.107
angles: 90.00 90.00 90.00
Space group P4/ncc (No. 130, origin choice 2)
Inequivalent atoms, fractional coordinates:
Ca 0.076 0.634 0.084 (multiplicity 16)
Ca 0.250 0.250 0.129 (multiplicity 4)
Ag 0.096 0.596 0.750 (multiplicity 8)
N 0.051 0.638 0.904 (multiplicity 16)

Results
Formation energy (no corrections) ... -0.66 eV/atom



11.
A plane-wave DFT calculation with GGA-PBEsol was carried out for CaAgN2O after structural relaxation.

abc: 4.529 4.529 4.237
angles: 90.00 90.00 90.00
Space group P4/mmm (No. 123)
Inequivalent atoms, fractional coordinates:
Ca 0.000 0.000 0.000 (multiplicity 1)
Ag 0.500 0.500 0.500 (multiplicity 1)
N 0.000 0.500 0.000 (multiplicity 2)
O 0.000 0.000 0.500 (multiplicity 1)

Results
Formation energy (no corrections) ... 1.31 eV/atom
DOS at the Fermi energy ... 2.42 states/eV/cell



12.
A plane-wave DFT calculation with GGA-PBEsol was carried out for CaAgSe2N after structural relaxation.

abc: 5.385 5.385 4.437
angles: 90.00 90.00 90.00
Space group P4/mmm (No. 123)
Inequivalent atoms, fractional coordinates:
Ca 0.000 0.000 0.000 (multiplicity 1)
Ag 0.500 0.500 0.500 (multiplicity 1)
Se 0.000 0.500 0.000 (multiplicity 2)
N 0.000 0.000 0.500 (multiplicity 1)

Results
Formation energy (no corrections) ... 0.80 eV/atom
DOS at the Fermi energy ... 4.51 states/eV/cell



13.
A plane-wave DFT calculation with GGA-PBEsol was carried out for Na2CaAg after structural relaxation.

abc: 4.385 4.385 23.933
angles: 90.00 90.00 90.00
Space group I-42d (No. 122)
Inequivalent atoms, fractional coordinates:
Na 0.221 0.250 0.125 (multiplicity 8)
Ca 0.000 0.000 0.500 (multiplicity 4)
Ag 0.000 0.000 0.000 (multiplicity 4)

Results
DOS at the Fermi energy ... 7.76 states/eV/cell
DFT formation energy ... 0.080 eV per atom



14.
A plane-wave DFT calculation with GGA-PBEsol was carried out for NaCa2Ag2 after structural relaxation.

abc: 8.130 8.130 4.003
angles: 90.00 90.00 90.00
Space group P4/mbm (No. 127)
Inequivalent atoms, fractional coordinates:
Na 0.000 0.000 0.000 (multiplicity 2)
Ca 0.168 0.332 0.500 (multiplicity 4)
Ag 0.123 0.623 0.000 (multiplicity 4)

Results
DOS at the Fermi energy ... 5.19 states/eV/cell
DFT formation energy ... -0.202 eV per atom